1.
# TbTlHgTe3 PBE-GGA optimized geometry
data_TbTlHgTe3
_symmetry_space_group_name_H-M 'P 1 21/m 1'
_symmetry_Int_Tables_number 11
_cell_length_a 9.3716
_cell_length_b 4.5026
_cell_length_c 10.5258
_cell_angle_alpha 90.00
_cell_angle_beta 106.41
_cell_angle_gamma 90.00
loop_
_symmetry_equiv_pos_as_xyz
'x,y,z'
'-x,-y,-z'
'-x,y+1/2,-z'
'x,-y+1/2,z'
loop_
_atom_site_label
_atom_site_fract_x
_atom_site_fract_y
_atom_site_fract_z
Tb1 0.1764 0.2500 0.1424
Tl1 0.2874 0.7500 0.7685
Hg1 0.4090 0.7500 0.3894
Te1 0.0451 0.2500 0.8397
Te2 0.2577 0.2500 0.4648
Te3 0.4022 0.7500 0.1190
# Crystal system: monoclinic
# Energy relative to the elements, uncorrected (eV per formula unit): -4.3

=====

2.
# Tb3Tl4HgTe8 PBE-GGA optimized geometry
data_Tb3Tl4HgTe8
_symmetry_space_group_name_H-M 'R -3 m'
_symmetry_Int_Tables_number 166
_symmetry_space_group_name_Hall '-R 3 2"'
_cell_length_a 8.9678
_cell_length_b 8.9678
_cell_length_c 23.8246
_cell_angle_alpha 90.00
_cell_angle_beta 90.00
_cell_angle_gamma 120.00
loop_
_atom_site_label
_atom_site_fract_x
_atom_site_fract_y
_atom_site_fract_z
Tb1 0.0000 0.5000 0.0000
Tl1 0.0000 0.0000 0.5000
Tl2 0.0000 0.5000 0.5000
Hg1 0.0000 0.0000 0.0000
Te1 0.0000 0.0000 0.2607
Te2 0.0033 0.5016 0.2603
# Crystal system: trigonal
# Energy relative to the elements, uncorrected (eV per formula unit): -12.6

=====

3.
# TbYHgTe PBE-GGA optimized geometry
data_TbYHgTe
_symmetry_space_group_name_H-M 'R 3 m'
_symmetry_Int_Tables_number 160
_symmetry_space_group_name_Hall 'R 3 -2"'
_cell_length_a 4.1615
_cell_length_b 4.1615
_cell_length_c 23.3343
_cell_angle_alpha 90.00
_cell_angle_beta 90.00
_cell_angle_gamma 120.00
loop_
_atom_site_label
_atom_site_fract_x
_atom_site_fract_y
_atom_site_fract_z
Tb1 0.0000 0.0000 0.0000
Y1 0.0000 0.0000 0.5009
Hg1 0.0000 0.0000 0.2507
Te1 0.0000 0.0000 0.7509
# Crystal system: trigonal
# Energy relative to the elements, uncorrected (eV per formula unit): -3.5

=====

4.
# Tb2ThHg PBE-GGA optimized geometry
data_Tb2ThHg
_symmetry_space_group_name_H-M 'P 4/m m m'
_symmetry_Int_Tables_number 123
_symmetry_space_group_name_Hall '-P 4 2'
_cell_length_a 4.8680
_cell_length_b 4.8680
_cell_length_c 4.8281
_cell_angle_alpha 90.00
_cell_angle_beta 90.00
_cell_angle_gamma 90.00
loop_
_atom_site_label
_atom_site_fract_x
_atom_site_fract_y
_atom_site_fract_z
Tb1 0.0000 0.5000 0.0000
Th1 0.0000 0.0000 0.5000
Hg1 0.5000 0.5000 0.5000
# Calculated formation energy (meV per atom): -96
# Crystal system: tetragonal
# Energy above the most stable polymorph in this dataset (eV/atom): 0.159

=====

5.
# TbTh3Hg4 PBE-GGA optimized geometry
data_TbTh3Hg4
_symmetry_space_group_name_H-M 'P 4/m m m'
_symmetry_Int_Tables_number 123
_symmetry_space_group_name_Hall '-P 4 2'
_cell_length_a 3.4715
_cell_length_b 3.4715
_cell_length_c 17.8817
_cell_angle_alpha 90.00
_cell_angle_beta 90.00
_cell_angle_gamma 90.00
loop_
_atom_site_label
_atom_site_fract_x
_atom_site_fract_y
_atom_site_fract_z
Tb1 0.0000 0.0000 0.0000
Th1 0.0000 0.0000 0.2446
Th2 0.0000 0.0000 0.5000
Hg1 0.5000 0.5000 0.1163
Hg2 0.5000 0.5000 0.3725
# Calculated formation energy (meV per atom): -284
# Crystal system: tetragonal

=====

6.
# TbThHg PBE-GGA optimized geometry
data_TbThHg
_symmetry_space_group_name_H-M 'P 3 m 1'
_symmetry_Int_Tables_number 156
_cell_length_a 5.2595
_cell_length_b 5.2595
_cell_length_c 3.6915
_cell_angle_alpha 90.00
_cell_angle_beta 90.00
_cell_angle_gamma 120.00
loop_
_symmetry_equiv_pos_as_xyz
'x,y,z'
'-y,x-y,z'
'-x+y,-x,z'
'-y,-x,z'
'-x+y,y,z'
'x,x-y,z'
loop_
_atom_site_label
_atom_site_fract_x
_atom_site_fract_y
_atom_site_fract_z
Tb1 0.0000 0.0000 0.0000
Th1 0.3333 0.6667 0.5060
Hg1 0.6667 0.3333 0.0212
# Calculated formation energy (meV per atom): -35
# Crystal system: trigonal
# Energy above the most stable polymorph in this dataset (eV/atom): 0.192

=====

7.
# TbTh2Hg6 PBE-GGA optimized geometry
data_TbTh2Hg6
_symmetry_space_group_name_H-M 'P 6/m m m'
_symmetry_Int_Tables_number 191
_symmetry_space_group_name_Hall '-P 6 2'
_cell_length_a 8.7563
_cell_length_b 8.7563
_cell_length_c 3.4039
_cell_angle_alpha 90.00
_cell_angle_beta 90.00
_cell_angle_gamma 120.00
loop_
_atom_site_label
_atom_site_fract_x
_atom_site_fract_y
_atom_site_fract_z
Tb1 0.0000 0.0000 0.0000
Th1 0.3333 0.6667 0.0000
Hg1 0.0000 0.3302 0.5000
# Calculated formation energy (meV per atom): -304
# Crystal system: hexagonal

=====

8.
# Tb2Th2Hg7 PBE-GGA optimized geometry
data_Tb2Th2Hg7
_symmetry_space_group_name_H-M 'C 1 2/m 1'
_symmetry_Int_Tables_number 12
_cell_length_a 12.9905
_cell_length_b 10.4600
_cell_length_c 4.6681
_cell_angle_alpha 90.00
_cell_angle_beta 109.02
_cell_angle_gamma 90.00
loop_
_symmetry_equiv_pos_as_xyz
'x,y,z'
'-x,-y,-z'
'-x,y,-z'
'x,-y,z'
'x+1/2,y+1/2,z'
'-x+1/2,-y+1/2,-z'
'-x+1/2,y+1/2,-z'
'x+1/2,-y+1/2,z'
loop_
_atom_site_label
_atom_site_fract_x
_atom_site_fract_y
_atom_site_fract_z
Tb1 0.2371 0.0000 0.0385
Th1 0.0000 0.2306 0.0000
Hg1 0.0000 0.0000 0.5000
Hg2 0.0868 0.5000 0.3217
Hg3 0.1731 0.2421 0.6607
# Calculated formation energy (meV per atom): -227
# Crystal system: monoclinic